The following is a PBE calculation of a geometry-optimized NiAgI2N structure, from Alexandria via LeMat-Bulk.

Results
E_form (uncorrected) ... 0.5310 eV per atom
Relative energy among the computed polymorphs ... 0.00 eV per formula unit

abc: 5.661 5.661 3.484
angles: 90.00 90.00 90.00
Space group P4/mmm (No. 123)
Inequivalent atoms, fractional coordinates:
Ni (0.000, 0.000, 0.000)
Ag (0.500, 0.500, 0.500)
I (0.000, 0.500, 0.000)
N (0.000, 0.000, 0.500)

The following is a PBE calculation of a geometry-optimized AgIN2O structure, from Alexandria via LeMat-Bulk.

Results
E_form (uncorrected) ... 2.0386 eV per atom

abc: 3.912 3.912 7.159
angles: 90.00 90.00 90.00
Space group P4/mmm (No. 123)
Inequivalent atoms, fractional coordinates:
Ag (0.000, 0.000, 0.000)
I (0.000, 0.000, 0.500)
N (0.000, 0.500, 0.000)
O (0.500, 0.500, 0.500)

no.,total magnetic moment (Bohr magnetons per cell)
1,0.0
2,3.9